[1]
{"formula": "ZrGaTc2O", "functional": "PBE", "state": "optimized geometry", "e_above_lowest_polymorph_mev_per_atom": 906, "formation_energy_uncorrected_ev_per_fu": 7.8, "spacegroup": "P4/mmm", "cell": [[4.548, 0.000, 0.000], [0.000, 4.548, 0.000], [0.000, 0.000, 5.132]], "species": ["Zr", "Ga", "Tc", "Tc", "O"], "frac_coords": [[0.000, 0.000, 0.000], [0.000, 0.000, 0.500], [0.000, 0.500, 0.500], [0.500, 0.000, 0.500], [0.500, 0.500, 0.000]]}


[2]
{"formula": "LiIrRh", "functional": "PBE", "state": "optimized geometry", "e_above_lowest_polymorph_mev_per_atom": 0, "formation_enthalpy_0k_ev_per_atom": -0.088, "spacegroup": "P-1", "cell": [[2.686, 0.000, 0.000], [1.315, 4.907, 0.000], [1.314, 0.953, 6.279]], "species": ["Li", "Li", "Ir", "Ir", "Rh", "Rh"], "frac_coords": [[0.134, 0.444, 0.329], [0.866, 0.556, 0.671], [0.155, 0.021, 0.670], [0.845, 0.979, 0.330], [0.376, 0.260, 0.983], [0.624, 0.740, 0.017]]}


[3]
{"formula": "La5Pm4Er4", "functional": "PBE", "state": "optimized geometry", "formation_enthalpy_0k_ev_per_atom": 0.026, "spacegroup": "I4/m", "cell": [[-6.586, 6.586, 2.570], [6.586, -6.586, 2.570], [6.586, 6.586, -2.570]], "species": ["La", "La", "La", "La", "La", "Pm", "Pm", "Pm", "Pm", "Er", "Er", "Er", "Er"], "frac_coords": [[0.000, 0.000, 0.000], [0.308, 0.541, 0.849], [0.459, 0.308, 0.767], [0.541, 0.692, 0.233], [0.692, 0.459, 0.151], [0.077, 0.385, 0.461], [0.385, 0.923, 0.308], [0.615, 0.077, 0.692], [0.923, 0.615, 0.539], [0.155, 0.766, 0.921], [0.234, 0.155, 0.389], [0.766, 0.845, 0.611], [0.845, 0.234, 0.079]]}


[4]
{"formula": "Cd3Mo", "functional": "PBE", "state": "optimized geometry", "e_above_lowest_polymorph_mev_per_atom": 61, "formation_enthalpy_0k_ev_per_atom": 0.339, "spacegroup": "Pm-3m", "cell": [[4.247, 0.000, 0.000], [0.000, 4.247, 0.000], [0.000, 0.000, 4.247]], "species": ["Cd", "Cd", "Cd", "Mo"], "frac_coords": [[0.000, 0.000, 0.500], [0.000, 0.500, 0.000], [0.500, 0.000, 0.000], [0.500, 0.500, 0.500]]}


[5]
{"formula": "Ac2AgTe", "functional": "PBE", "state": "optimized geometry", "e_above_lowest_polymorph_mev_per_atom": 94, "formation_energy_uncorrected_ev_per_fu": -3.0, "spacegroup": "R3m", "cell": [[2.206, 1.274, 8.683], [-2.206, 1.274, 8.683], [0.000, -2.547, 8.683]], "species": ["Ac", "Ac", "Ag", "Te"], "frac_coords": [[0.000, 0.000, 0.000], [0.163, 0.163, 0.163], [0.749, 0.749, 0.749], [0.581, 0.581, 0.581]]}


[6]
{"formula": "RbLi2IrCl8", "functional": "PBE", "state": "optimized geometry", "formation_energy_uncorrected_ev_per_fu": -12.9, "spacegroup": "P-1", "cell": [[6.215, 0.000, 0.000], [0.059, 6.551, 0.000], [0.804, 1.301, 8.148]], "species": ["Rb", "Li", "Li", "Ir", "Cl", "Cl", "Cl", "Cl", "Cl", "Cl", "Cl", "Cl"], "frac_coords": [[0.000, 0.000, 0.000], [0.477, 0.526, 0.797], [0.523, 0.474, 0.203], [0.000, 0.500, 0.500], [0.085, 0.537, 0.765], [0.175, 0.806, 0.394], [0.320, 0.317, 0.460], [0.497, 0.755, 0.991], [0.503, 0.245, 0.009], [0.680, 0.683, 0.540], [0.825, 0.194, 0.606], [0.915, 0.463, 0.235]]}


[7]
{"formula": "Ce2DyTh3Se6", "functional": "PBE", "state": "optimized geometry", "formation_energy_uncorrected_ev_per_fu": -20.0, "spacegroup": "C2/m", "cell": [[3.593, -6.217, 0.000], [3.593, 6.217, 0.000], [-2.388, 0.000, 6.921]], "species": ["Ce", "Ce", "Dy", "Th", "Th", "Th", "Se", "Se", "Se", "Se", "Se", "Se"], "frac_coords": [[0.166, 0.834, 0.000], [0.834, 0.166, 0.000], [0.500, 0.500, 0.000], [0.000, 0.000, 0.500], [0.330, 0.670, 0.500], [0.670, 0.330, 0.500], [0.093, 0.420, 0.759], [0.255, 0.255, 0.245], [0.420, 0.093, 0.759], [0.580, 0.907, 0.241], [0.745, 0.745, 0.755], [0.907, 0.580, 0.241]]}


[8]
{"formula": "CuBrN2", "functional": "PBE", "state": "optimized geometry", "e_above_lowest_polymorph_mev_per_atom": 1827, "formation_energy_uncorrected_ev_per_fu": 7.0, "spacegroup": "R-3m", "cell": [[1.638, 0.946, 5.897], [-1.638, 0.946, 5.897], [0.000, -1.892, 5.897]], "species": ["Cu", "Br", "N", "N"], "frac_coords": [[0.000, 0.000, 0.000], [0.500, 0.500, 0.500], [0.103, 0.103, 0.103], [0.897, 0.897, 0.897]]}


These records have D(E_F) values of 0.958, 0.747, 1.635, 0.509, 0.913, 0.734, 1.302, 0.579 states/eV/atom, in the order they appear.
These records have E values of -5.9015, -6.1297, -4.7344, -3.0546, -4.3001, -3.4434, -6.6396, -3.8650 eV per atom, in the order they appear.
These records have calculated density values of 5.8, 12.1, 7.2, 9.4, 7.8, 2.9, 8.7, 5.2 g/cm³, in the order they appear.